No. 1
# PBE CsCu2Ag2Br6, optimized geometry
data_CsCu2Ag2Br6
_chemical_formula_sum 'Cs1 Cu2 Ag2 Br6'
_space_group_name_H-M_alt 'P -1'
_space_group_IT_number 2
_cell_length_a 7.367
_cell_length_b 8.194
_cell_length_c 9.091
_cell_angle_alpha 115.33
_cell_angle_beta 91.00
_cell_angle_gamma 116.57
loop_
_space_group_symop_operation_xyz
'x,y,z'
'-x,-y,-z'
loop_
_atom_site_label
_atom_site_type_symbol
_atom_site_fract_x
_atom_site_fract_y
_atom_site_fract_z
Cs1 Cs 0.000 0.000 0.000
Cu1 Cu 0.349 0.709 0.271
Ag1 Ag 0.316 0.624 0.547
Br1 Br 0.003 0.502 0.282
Br2 Br 0.479 0.972 0.201
Br3 Br 0.490 0.483 0.716
# Formation energy (no corrections): -0.55 eV/atom
# E_tot: -2.80 eV/atom



No. 2
# PBE CsCu4Ag3Br12, optimized geometry
data_CsCu4Ag3Br12
_chemical_formula_sum 'Cs3 Cu12 Ag9 Br36'
_space_group_name_H-M_alt 'R 3 2'
_space_group_IT_number 155
_space_group_name_Hall 'R 3 2"'
_cell_length_a 14.2603
_cell_length_b 14.2603
_cell_length_c 11.3373
_cell_angle_alpha 90.00
_cell_angle_beta 90.00
_cell_angle_gamma 120.00
loop_
_atom_site_label
_atom_site_type_symbol
_atom_site_fract_x
_atom_site_fract_y
_atom_site_fract_z
Cs1 Cs 0.0000 0.0000 0.0000
Cu1 Cu 0.0000 0.0000 0.5000
Cu2 Cu 0.0000 0.4211 0.5000
Ag1 Ag 0.0000 0.5712 0.0000
Br1 Br 0.0000 0.5873 0.5000
Br2 Br 0.0000 0.8353 0.5000
Br3 Br 0.0431 0.2049 0.2170
# Formation energy (no corrections): -0.41 eV/atom
# E_tot: -2.70 eV/atom



No. 3
# PBE CsCuAgBr4, optimized geometry
data_CsCuAgBr4
_chemical_formula_sum 'Cs2 Cu2 Ag2 Br8'
_space_group_name_H-M_alt 'P 1 21/m 1'
_space_group_IT_number 11
_cell_length_a 6.473
_cell_length_b 7.641
_cell_length_c 9.979
_cell_angle_alpha 90.00
_cell_angle_beta 108.34
_cell_angle_gamma 90.00
loop_
_space_group_symop_operation_xyz
'x,y,z'
'-x,-y,-z'
'-x,y+1/2,-z'
'x,-y+1/2,z'
loop_
_atom_site_label
_atom_site_type_symbol
_atom_site_fract_x
_atom_site_fract_y
_atom_site_fract_z
Cs1 Cs 0.178 0.250 0.394
Cu1 Cu 0.334 0.750 0.195
Ag1 Ag 0.392 0.250 0.991
Br1 Br 0.017 0.750 0.993
Br2 Br 0.233 0.750 0.409
Br3 Br 0.422 0.502 0.793
# Formation energy (no corrections): -0.72 eV/atom
# E_tot: -2.79 eV/atom



No. 4
# PBE Cs2Cu2AgBr7, optimized geometry
data_Cs2Cu2AgBr7
_chemical_formula_sum 'Cs4 Cu4 Ag2 Br14'
_space_group_name_H-M_alt 'C 1 2/m 1'
_space_group_IT_number 12
_cell_length_a 7.448
_cell_length_b 7.554
_cell_length_c 13.695
_cell_angle_alpha 90.00
_cell_angle_beta 101.57
_cell_angle_gamma 90.00
loop_
_space_group_symop_operation_xyz
'x,y,z'
'-x,-y,-z'
'-x,y,-z'
'x,-y,z'
'x+1/2,y+1/2,z'
'-x+1/2,-y+1/2,-z'
'-x+1/2,y+1/2,-z'
'x+1/2,-y+1/2,z'
loop_
_atom_site_label
_atom_site_type_symbol
_atom_site_fract_x
_atom_site_fract_y
_atom_site_fract_z
Cs1 Cs 0.193 0.000 0.351
Cu1 Cu 0.108 0.500 0.183
Ag1 Ag 0.000 0.000 0.000
Br1 Br 0.000 0.500 0.000
Br2 Br 0.127 0.230 0.841
Br3 Br 0.190 0.500 0.369
# Formation energy (no corrections): -0.70 eV/atom
# E_tot: -2.74 eV/atom



No. 5
# PBE Cs3Cu2AgBr8, optimized geometry
data_Cs3Cu2AgBr8
_chemical_formula_sum 'Cs3 Cu2 Ag1 Br8'
_space_group_name_H-M_alt 'P -3 m 1'
_space_group_IT_number 164
_space_group_name_Hall '-P 3 2"'
_cell_length_a 7.6476
_cell_length_b 7.6476
_cell_length_c 10.0925
_cell_angle_alpha 90.00
_cell_angle_beta 90.00
_cell_angle_gamma 120.00
loop_
_atom_site_label
_atom_site_type_symbol
_atom_site_fract_x
_atom_site_fract_y
_atom_site_fract_z
Cs1 Cs 0.0000 0.0000 0.0000
Cs2 Cs 0.3333 0.6667 0.6371
Cu1 Cu 0.3333 0.6667 0.2225
Ag1 Ag 0.0000 0.0000 0.5000
Br1 Br 0.1663 0.3325 0.3286
Br2 Br 0.3333 0.6667 0.9926
# Formation energy (no corrections): -0.95 eV/atom
# E_tot: -2.88 eV/atom



No. 6
# PBE Cs3Cu2AgBr6, optimized geometry
data_Cs3Cu2AgBr6
_chemical_formula_sum 'Cs3 Cu2 Ag1 Br6'
_space_group_name_H-M_alt 'P -3 m 1'
_space_group_IT_number 164
_space_group_name_Hall '-P 3 2"'
_cell_length_a 7.9774
_cell_length_b 7.9774
_cell_length_c 9.4315
_cell_angle_alpha 90.00
_cell_angle_beta 90.00
_cell_angle_gamma 120.00
loop_
_atom_site_label
_atom_site_type_symbol
_atom_site_fract_x
_atom_site_fract_y
_atom_site_fract_z
Cs1 Cs 0.0000 0.0000 0.0000
Cs2 Cs 0.3333 0.6667 0.6552
Cu1 Cu 0.3333 0.6667 0.2874
Ag1 Ag 0.0000 0.0000 0.5000
Br1 Br 0.1627 0.3254 0.2996
# Formation energy (no corrections): -1.00 eV/atom
# E_tot: -2.97 eV/atom



No. 7
# PBE CsCu3Ag4Br12, optimized geometry
data_CsCu3Ag4Br12
_chemical_formula_sum 'Cs2 Cu6 Ag8 Br24'
_space_group_name_H-M_alt 'I m -3'
_space_group_IT_number 204
_space_group_name_Hall '-I 2 2 3'
_cell_length_a 10.372
_cell_length_b 10.372
_cell_length_c 10.372
_cell_angle_alpha 90.00
_cell_angle_beta 90.00
_cell_angle_gamma 90.00
loop_
_atom_site_label
_atom_site_type_symbol
_atom_site_fract_x
_atom_site_fract_y
_atom_site_fract_z
Cs1 Cs 0.000 0.000 0.000
Cu1 Cu 0.000 0.000 0.500
Ag1 Ag 0.250 0.250 0.250
Br1 Br 0.000 0.166 0.330
# Formation energy (no corrections): -0.41 eV/atom
# E_tot: -2.64 eV/atom



No. 8
# PBE CsCu2AgBr8, optimized geometry
data_CsCu2AgBr8
_chemical_formula_sum 'Cs1 Cu2 Ag1 Br8'
_space_group_name_H-M_alt 'P -3'
_space_group_IT_number 147
_cell_length_a 6.7921
_cell_length_b 6.7921
_cell_length_c 9.6988
_cell_angle_alpha 90.00
_cell_angle_beta 90.00
_cell_angle_gamma 120.00
loop_
_space_group_symop_operation_xyz
'x,y,z'
'-x,-y,-z'
'-y,x-y,z'
'y,-x+y,-z'
'-x+y,-x,z'
'x-y,x,-z'
loop_
_atom_site_label
_atom_site_type_symbol
_atom_site_fract_x
_atom_site_fract_y
_atom_site_fract_z
Cs1 Cs 0.0000 0.0000 0.0000
Cu1 Cu 0.3333 0.6667 0.7329
Ag1 Ag 0.0000 0.0000 0.5000
Br1 Br 0.0043 0.3209 0.6674
Br2 Br 0.3333 0.6667 0.9760
# Formation energy (no corrections): -0.45 eV/atom
# E_tot: -2.55 eV/atom



No. 9
# PBE Cs2CuAgBr4, optimized geometry
data_Cs2CuAgBr4
_chemical_formula_sum 'Cs16 Cu8 Ag8 Br32'
_space_group_name_H-M_alt 'F d d d'
_space_group_IT_number 70
_cell_length_a 5.693
_cell_length_b 15.549
_cell_length_c 27.221
_cell_angle_alpha 90.00
_cell_angle_beta 90.00
_cell_angle_gamma 90.00
loop_
_space_group_symop_operation_xyz
'x,y,z'
'-x,-y,-z'
'-x+1/4,-y+1/4,z'
'x+1/4,y+1/4,-z'
'x,-y+1/4,-z+1/4'
'-x,y+1/4,z+1/4'
'-x+1/4,y,-z+1/4'
'x+1/4,-y,z+1/4'
'x,y+1/2,z+1/2'
'-x,-y+1/2,-z+1/2'
'-x+1/4,-y+3/4,z+1/2'
'x+1/4,y+3/4,-z+1/2'
'x,-y+3/4,-z+3/4'
'-x,y+3/4,z+3/4'
'-x+1/4,y+1/2,-z+3/4'
'x+1/4,-y+1/2,z+3/4'
'x+1/2,y,z+1/2'
'-x+1/2,-y,-z+1/2'
'-x+3/4,-y+1/4,z+1/2'
'x+3/4,y+1/4,-z+1/2'
'x+1/2,-y+1/4,-z+3/4'
'-x+1/2,y+1/4,z+3/4'
'-x+3/4,y,-z+3/4'
'x+3/4,-y,z+3/4'
'x+1/2,y+1/2,z'
'-x+1/2,-y+1/2,-z'
'-x+3/4,-y+3/4,z'
'x+3/4,y+3/4,-z'
'x+1/2,-y+3/4,-z+1/4'
'-x+1/2,y+3/4,z+1/4'
'-x+3/4,y+1/2,-z+1/4'
'x+3/4,-y+1/2,z+1/4'
loop_
_atom_site_label
_atom_site_type_symbol
_atom_site_fract_x
_atom_site_fract_y
_atom_site_fract_z
Cs1 Cs 0.125 0.125 0.299
Cu1 Cu 0.125 0.125 0.625
Ag1 Ag 0.125 0.125 0.125
Br1 Br 0.098 0.273 0.819
# Formation energy (no corrections): -1.04 eV/atom
# E_tot: -2.96 eV/atom



No. 10
# PBE Cs3Cu2AgBr9, optimized geometry
data_Cs3Cu2AgBr9
_chemical_formula_sum 'Cs3 Cu2 Ag1 Br9'
_space_group_name_H-M_alt 'P -3 m 1'
_space_group_IT_number 164
_space_group_name_Hall '-P 3 2"'
_cell_length_a 7.5537
_cell_length_b 7.5537
_cell_length_c 9.2650
_cell_angle_alpha 90.00
_cell_angle_beta 90.00
_cell_angle_gamma 120.00
loop_
_atom_site_label
_atom_site_type_symbol
_atom_site_fract_x
_atom_site_fract_y
_atom_site_fract_z
Cs1 Cs 0.0000 0.0000 0.0000
Cs2 Cs 0.3333 0.6667 0.6657
Cu1 Cu 0.3333 0.6667 0.1619
Ag1 Ag 0.0000 0.0000 0.5000
Br1 Br 0.0000 0.5000 0.0000
Br2 Br 0.1721 0.3443 0.3246
# Formation energy (no corrections): -0.89 eV/atom
# E_tot: -2.80 eV/atom



No. 11
# PBE Cs2DyAgBr6, optimized geometry
data_Cs2DyAgBr6
_chemical_formula_sum 'Cs4 Dy2 Ag2 Br12'
_space_group_name_H-M_alt 'P m m n'
_space_group_IT_number 59
_cell_length_a 8.033
_cell_length_b 11.447
_cell_length_c 8.032
_cell_angle_alpha 90.00
_cell_angle_beta 90.00
_cell_angle_gamma 90.00
loop_
_space_group_symop_operation_xyz
'x,y,z'
'-x,-y,-z'
'-x+1/2,-y+1/2,z'
'x+1/2,y+1/2,-z'
'x+1/2,-y,-z'
'-x+1/2,y,z'
'-x,y+1/2,-z'
'x,-y+1/2,z'
loop_
_atom_site_label
_atom_site_type_symbol
_atom_site_fract_x
_atom_site_fract_y
_atom_site_fract_z
Cs1 Cs 0.250 0.000 0.250
Dy1 Dy 0.250 0.250 0.749
Ag1 Ag 0.250 0.750 0.751
Br1 Br 0.003 0.250 0.996
Br2 Br 0.004 0.250 0.502
Br3 Br 0.250 0.005 0.750
# Formation energy (no corrections): -1.57 eV/atom
# E_tot: -3.49 eV/atom



No. 12
# PBE Cs3DyAg2Br8, optimized geometry
data_Cs3DyAg2Br8
_chemical_formula_sum 'Cs3 Dy1 Ag2 Br8'
_space_group_name_H-M_alt 'P -3 m 1'
_space_group_IT_number 164
_space_group_name_Hall '-P 3 2"'
_cell_length_a 7.9549
_cell_length_b 7.9549
_cell_length_c 10.5823
_cell_angle_alpha 90.00
_cell_angle_beta 90.00
_cell_angle_gamma 120.00
loop_
_atom_site_label
_atom_site_type_symbol
_atom_site_fract_x
_atom_site_fract_y
_atom_site_fract_z
Cs1 Cs 0.0000 0.0000 0.0000
Cs2 Cs 0.3333 0.6667 0.6313
Dy1 Dy 0.0000 0.0000 0.5000
Ag1 Ag 0.3333 0.6667 0.1960
Br1 Br 0.1630 0.3260 0.3424
Br2 Br 0.3333 0.6667 0.9570
# Formation energy (no corrections): -1.39 eV/atom
# E_tot: -3.26 eV/atom